Run w
DFT (GGA-PBE) results for a relaxed structure of CsDyBi2.

Calculated values
Calculated density (Mg/m³): 6.7

Cell lengths 4.8827, 4.8827, 25.6050 Å; angles 90.00, 90.00, 120.00 degrees
With the nearest neighbours (Å) after each atom.
Space group R-3m (No. 166, hexagonal axes)
Unique sites:
Cs: 0.0000 0.0000 0.0000 x3  6 Bi 4.00
Dy: 0.0000 0.0000 0.5000 x3  6 Bi 3.16
Bi: 0.0000 0.0000 0.2225 x6  3 Dy 3.16

Run x
DFT (GGA-PBE) results for a relaxed structure of CsDyBi2.

Calculated values
Calculated density (Mg/m³): 7.8

Cell lengths 4.2394, 4.2394, 8.4755 Å; angles 90.00, 90.00, 90.00 degrees
With the nearest neighbours (Å) after each atom.
Space group P4/mmm (No. 123)
Unique sites:
Cs: 0.0000 0.0000 0.0000 x1  8 Bi 4.03, 2 Dy 4.24, 4 Cs 4.24
Dy: 0.0000 0.0000 0.5000 x1  8 Bi 3.37
Bi: 0.5000 0.5000 0.3179 x2  1 Bi 3.09, 4 Dy 3.37

Relative energies, unit meV/atom: run w 113; run x 0

Run w
DFT (GGA-PBE) results for a relaxed structure of CsBiF3.

Calculated values
Calculated density (Mg/m³): 5.7

Cell lengths 4.8802, 4.8802, 4.8802 Å; angles 90.00, 90.00, 90.00 degrees
With the nearest neighbours (Å) after each atom.
Space group Pm-3m (No. 221)
Unique sites:
Cs: 0.0000 0.0000 0.0000 x1  12 F 3.45
Bi: 0.5000 0.5000 0.5000 x1  6 F 2.44
F: 0.0000 0.5000 0.5000 x3  2 Bi 2.44

Run x
DFT (GGA-PBE) results for a relaxed structure of CsBiF3.

Calculated values
Calculated density (Mg/m³): 6.1

Cell lengths 7.2822, 4.0636, 14.6533 Å; angles 90.00, 90.00, 90.00 degrees
With the nearest neighbours (Å) after each atom.
Space group Pnma (No. 62)
Unique sites:
Cs: 0.2479 0.2500 0.0154 x4  6 F 2.87-3.20
Bi: 0.0089 0.2500 0.2515 x4  3 F 2.23-2.33
F: 0.0174 0.7500 0.1397 x4  2 Bi 2.61, 1 F 2.72
F: 0.0595 0.2500 0.6787 x4  2 Bi 2.33
F: 0.1187 0.2500 0.3939 x4  1 Bi 2.23

Relative energies, unit meV/atom: run w 90; run x 0

Run w
DFT (GGA-PBE) results for a relaxed structure of Cs2BiF6.

Calculated values
Calculated density (Mg/m³): 4.5

Cell lengths 9.5295, 9.5295, 9.5295 Å; angles 90.00, 90.00, 90.00 degrees
With the nearest neighbours (Å) after each atom.
Space group Fm-3m (No. 225)
Unique sites:
Cs: 0.2500 0.2500 0.2500 x8  12 F 3.38
Bi: 0.0000 0.0000 0.0000 x4  6 F 2.16
F: 0.0000 0.0000 0.2270 x24  1 Bi 2.16

Run x
DFT (GGA-PBE) results for a relaxed structure of Cs2BiF6.

Calculated values
Calculated density (Mg/m³): 4.4

Cell lengths 6.8782, 8.5787, 8.5928 Å; angles 90.00, 118.49, 90.00 degrees
With the nearest neighbours (Å) after each atom.
Space group P2_1/c (No. 14)
Unique sites:
Cs: 0.1808 0.0553 0.3184 x4  7 F 3.05-3.33
Bi: 0.5000 0.0000 0.0000 x2  6 F 2.17-2.18
F: 0.2072 0.1211 0.9746 x4  1 Bi 2.18
F: 0.3114 0.7149 0.4367 x4  1 Bi 2.17
F: 0.3822 0.0375 0.7197 x4  1 Bi 2.17

Relative energies, unit meV/atom: run w 18; run x 0

Run w
DFT (GGA-PBE) results for a relaxed structure of CsBi3F.

Calculated values
Calculated density (Mg/m³): 4.9

Cell lengths 6.4271, 6.4271, 6.4271 Å; angles 90.00, 90.00, 90.00 degrees
With the nearest neighbours (Å) after each atom.
Space group Pm-3m (No. 221)
Unique sites:
Cs: 0.0000 0.0000 0.0000 x1  6 Bi 3.21
Bi: 0.0000 0.0000 0.5000 x3  2 Cs 3.21
F: 0.5000 0.5000 0.5000 x1  12 Bi 4.54

Run x
DFT (GGA-PBE) results for a relaxed structure of CsBi3F.

Calculated values
Calculated density (Mg/m³): 8.3

Cell lengths 5.3746, 5.3746, 5.3746 Å; angles 90.00, 90.00, 90.00 degrees
With the nearest neighbours (Å) after each atom.
Space group Pm-3m (No. 221)
Unique sites:
Cs: 0.0000 0.0000 0.0000 x1  12 Bi 3.80
Bi: 0.0000 0.5000 0.5000 x3  2 F 2.69
F: 0.5000 0.5000 0.5000 x1  6 Bi 2.69

Relative energies, unit meV/atom: run w 1540; run x 0

Run w
DFT (GGA-PBE) results for a relaxed structure of Cs3BiF.

Calculated values
Calculated density (Mg/m³): 4.7

Cell lengths 6.0319, 6.0319, 6.0319 Å; angles 90.00, 90.00, 90.00 degrees
With the nearest neighbours (Å) after each atom.
Space group Pm-3m (No. 221)
Unique sites:
Cs: 0.0000 0.0000 0.5000 x3  2 F 3.02
Bi: 0.5000 0.5000 0.5000 x1  12 Cs 4.27
F: 0.0000 0.0000 0.0000 x1  6 Cs 3.02

Run x
DFT (GGA-PBE) results for a relaxed structure of Cs3BiF.

Calculated values
Calculated density (Mg/m³): 4.5

Cell lengths 10.5050, 7.6112, 13.3787 Å; angles 90.00, 121.16, 90.00 degrees
With the nearest neighbours (Å) after each atom.
Space group P2_1/c (No. 14)
Unique sites:
Cs: 0.1049 0.0499 0.3978 x4  2 F 2.93-2.96
Cs: 0.2216 0.5547 0.5590 x4  2 F 2.94-3.03
Cs: 0.3451 0.1341 0.7822 x4  1 F 3.03
Bi: 0.4541 0.6504 0.9056 x4  1 Bi 3.17
F: 0.0529 0.2379 0.5669 x4  5 Cs 2.93-3.03

Relative energies, unit meV/atom: run w 9; run x 0